# MnAgN2, optimized geometry, DFT PBEsol
data_MnAgN2
_chemical_formula_sum 'Mn4 Ag4 N8'
_cell_length_a 5.414
_cell_length_b 5.414
_cell_length_c 5.414
_cell_angle_alpha 90.00
_cell_angle_beta 90.00
_cell_angle_gamma 90.00
_space_group_name_H-M_alt 'F m -3 m'
_space_group_IT_number 225
_space_group_name_Hall '-F 4 2 3'
loop_
_atom_site_label
_atom_site_type_symbol
_atom_site_fract_x
_atom_site_fract_y
_atom_site_fract_z
_atom_site_occupancy
Mn1 Mn 0.000 0.000 0.000 1
Ag1 Ag 0.000 0.000 0.500 1
N1 N 0.250 0.250 0.250 1
# Formation energy (no corrections)   1.1376 eV/atom

---

# MnAg2RhN, optimized geometry, DFT PBEsol
data_MnAg2RhN
_chemical_formula_sum 'Mn1 Ag2 Rh1 N1'
_cell_length_a 4.824
_cell_length_b 4.824
_cell_length_c 4.270
_cell_angle_alpha 90.00
_cell_angle_beta 90.00
_cell_angle_gamma 90.00
_space_group_name_H-M_alt 'P 4/m m m'
_space_group_IT_number 123
_space_group_name_Hall '-P 4 2'
loop_
_atom_site_label
_atom_site_type_symbol
_atom_site_fract_x
_atom_site_fract_y
_atom_site_fract_z
_atom_site_occupancy
Mn1 Mn 0.000 0.000 0.000 1
Ag1 Ag 0.000 0.500 0.000 1
Rh1 Rh 0.000 0.000 0.500 1
N1 N 0.500 0.500 0.500 1
# Formation energy (no corrections)   2.1145 eV/atom

---

# MnAgSN2, optimized geometry, DFT PBEsol
data_MnAgSN2
_chemical_formula_sum 'Mn1 Ag1 S1 N2'
_cell_length_a 3.920
_cell_length_b 3.920
_cell_length_c 5.193
_cell_angle_alpha 90.00
_cell_angle_beta 90.00
_cell_angle_gamma 90.00
_space_group_name_H-M_alt 'P 4/m m m'
_space_group_IT_number 123
_space_group_name_Hall '-P 4 2'
loop_
_atom_site_label
_atom_site_type_symbol
_atom_site_fract_x
_atom_site_fract_y
_atom_site_fract_z
_atom_site_occupancy
Mn1 Mn 0.000 0.000 0.000 1
Ag1 Ag 0.500 0.500 0.500 1
S1 S 0.500 0.500 0.000 1
N1 N 0.000 0.500 0.500 1
# Formation energy (no corrections)   1.7262 eV/atom

---

# MnAgSbN2, optimized geometry, DFT PBEsol
data_MnAgSbN2
_chemical_formula_sum 'Mn1 Ag1 Sb1 N2'
_cell_length_a 4.030
_cell_length_b 4.030
_cell_length_c 5.210
_cell_angle_alpha 90.00
_cell_angle_beta 90.00
_cell_angle_gamma 90.00
_space_group_name_H-M_alt 'P 4/m m m'
_space_group_IT_number 123
_space_group_name_Hall '-P 4 2'
loop_
_atom_site_label
_atom_site_type_symbol
_atom_site_fract_x
_atom_site_fract_y
_atom_site_fract_z
_atom_site_occupancy
Mn1 Mn 0.000 0.000 0.000 1
Ag1 Ag 0.500 0.500 0.000 1
Sb1 Sb 0.000 0.000 0.500 1
N1 N 0.000 0.500 0.500 1
# Formation energy (no corrections)   1.6355 eV/atom

---

# MnAgTeN2, optimized geometry, DFT PBEsol
data_MnAgTeN2
_chemical_formula_sum 'Mn1 Ag1 Te1 N2'
_cell_length_a 4.008
_cell_length_b 4.008
_cell_length_c 5.809
_cell_angle_alpha 90.00
_cell_angle_beta 90.00
_cell_angle_gamma 90.00
_space_group_name_H-M_alt 'P 4/m m m'
_space_group_IT_number 123
_space_group_name_Hall '-P 4 2'
loop_
_atom_site_label
_atom_site_type_symbol
_atom_site_fract_x
_atom_site_fract_y
_atom_site_fract_z
_atom_site_occupancy
Mn1 Mn 0.000 0.000 0.000 1
Ag1 Ag 0.500 0.500 0.500 1
Te1 Te 0.500 0.500 0.000 1
N1 N 0.000 0.500 0.500 1
# Formation energy (no corrections)   1.7701 eV/atom

---

# MnNb3Ag, optimized geometry, DFT PBEsol
data_MnNb3Ag
_chemical_formula_sum 'Mn1 Nb3 Ag1'
_cell_length_a 4.854
_cell_length_b 4.854
_cell_length_c 4.854
_cell_angle_alpha 90.00
_cell_angle_beta 90.00
_cell_angle_gamma 90.00
_space_group_name_H-M_alt 'P m -3 m'
_space_group_IT_number 221
_space_group_name_Hall '-P 4 2 3'
loop_
_atom_site_label
_atom_site_type_symbol
_atom_site_fract_x
_atom_site_fract_y
_atom_site_fract_z
_atom_site_occupancy
Mn1 Mn 0.000 0.000 0.000 1
Nb1 Nb 0.000 0.500 0.500 1
Ag1 Ag 0.500 0.500 0.500 1
# E_form   2.069 eV per atom